Record 1
Computed, not measured: a relaxed Al5GaAg6 crystal at the GGA-PBE level of DFT.

Cell lengths 9.057, 9.253, 4.978 Å; angles 90.00, 99.18, 90.00 degrees
Space group C2/m (No. 12)
One atom of each set of equivalent atoms:
Al  0.000  0.000  0.000 (multiplicity 2)
Al  0.000  0.164  0.500 (multiplicity 4)
Al  0.000  0.331  0.000 (multiplicity 4)
Ga  0.000  0.500  0.500 (multiplicity 2)
Ag  0.248  0.168  0.250 (multiplicity 8)
Ag  0.249  0.000  0.754 (multiplicity 4)

Results
For the formation enthalpy at 0 K, the calculation gives -23 meV/atom. Its total DFT energy (no corrections) is -3.26 eV per atom.

Record 2
Computed, not measured: a relaxed Al2GaAg4 crystal at the GGA-PBE level of DFT.

Cell lengths 4.726, 7.371, 8.101 Å; angles 114.65, 95.62, 93.40 degrees
Space group P1 (No. 1)
One atom of each set of equivalent atoms:
Al  0.000  0.000  0.000 (multiplicity 1)
Al  0.095  0.250  0.719 (multiplicity 1)
Al  0.256  0.400  0.099 (multiplicity 1)
Al  0.510  0.035  0.507 (multiplicity 1)
Ga  0.289  0.657  0.834 (multiplicity 1)
Ga  0.791  0.493  0.292 (multiplicity 1)
Ag  0.057  0.807  0.238 (multiplicity 1)
Ag  0.132  0.236  0.368 (multiplicity 1)
Ag  0.345  0.653  0.471 (multiplicity 1)
Ag  0.468  0.052  0.843 (multiplicity 1)
Ag  0.561  0.000  0.173 (multiplicity 1)
Ag  0.707  0.429  0.591 (multiplicity 1)
Ag  0.718  0.470  0.949 (multiplicity 1)
Ag  0.901  0.859  0.631 (multiplicity 1)

Results
For the formation enthalpy at 0 K, the calculation gives 31 meV/atom. Its total DFT energy (no corrections) is -3.10 eV per atom. Its offset from the most stable computed form is 0.059 eV per atom.

Record 3
Computed, not measured: a relaxed Al3GaAg crystal at the GGA-PBE level of DFT.

Cell lengths 4.872, 4.872, 4.872 Å; angles 90.00, 90.00, 90.00 degrees
Space group Pm-3m (No. 221)
One atom of each set of equivalent atoms:
Al  0.000  0.000  0.500 (multiplicity 3)
Ga  0.000  0.000  0.000 (multiplicity 1)
Ag  0.500  0.500  0.500 (multiplicity 1)

Results
For the formation enthalpy at 0 K, the calculation gives 618 meV/atom. Its total DFT energy (no corrections) is -2.80 eV per atom. Its offset from the most stable computed form is 0.548 eV per atom.

Record 4
Computed, not measured: a relaxed Al2GaAg2 crystal at the GGA-PBE level of DFT.

Cell lengths 2.9379, 2.9379, 34.6383 Å; angles 90.00, 90.00, 120.00 degrees
Space group R-3m (No. 166, hexagonal axes)
One atom of each set of equivalent atoms:
Al  0.0000  0.0000  0.0987 (multiplicity 6)
Ga  0.0000  0.0000  0.5000 (multiplicity 3)
Ag  0.0000  0.0000  0.2982 (multiplicity 6)

Results
For the formation enthalpy at 0 K, the calculation gives -10 meV/atom. Its total DFT energy (no corrections) is -3.25 eV per atom. Its offset from the most stable computed form is 0.000 eV per atom.

Record 5
Computed, not measured: a relaxed Al3Ga7Ag crystal at the GGA-PBE level of DFT.

Cell lengths 6.0086, 6.0086, 6.5145 Å; angles 90.00, 90.00, 120.00 degrees
Space group P3m1 (No. 156)
One atom of each set of equivalent atoms:
Al  0.1690  0.3379  0.0000 (multiplicity 3)
Ga  0.3333  0.6667  0.6414 (multiplicity 1)
Ga  0.3539  0.1769  0.6846 (multiplicity 3)
Ga  0.5127  0.0254  0.3132 (multiplicity 3)
Ag  0.0000  0.0000  0.3424 (multiplicity 1)

Results
For the formation enthalpy at 0 K, the calculation gives 41 meV/atom. Its total DFT energy (no corrections) is -3.17 eV per atom.

Record 6
Computed, not measured: a relaxed Al4Ga5Ag2 crystal at the GGA-PBE level of DFT.

Cell lengths 3.187, 8.611, 14.603 Å; angles 90.00, 90.00, 90.00 degrees
Space group Immm (No. 71)
One atom of each set of equivalent atoms:
Al  0.000  0.000  0.087 (multiplicity 4)
Al  0.000  0.256  0.500 (multiplicity 4)
Ga  0.000  0.322  0.309 (multiplicity 8)
Ga  0.000  0.500  0.000 (multiplicity 2)
Ag  0.000  0.000  0.335 (multiplicity 4)

Results
For the formation enthalpy at 0 K, the calculation gives 74 meV/atom. Its total DFT energy (no corrections) is -3.18 eV per atom. Its offset from the most stable computed form is 0.024 eV per atom.

Record 7
Computed, not measured: a relaxed Al4Ga5Ag2 crystal at the GGA-PBE level of DFT.

Cell lengths 17.255, 2.862, 8.235 Å; angles 90.00, 97.13, 90.00 degrees
Space group C2/m (No. 12)
One atom of each set of equivalent atoms:
Al  0.080  0.000  0.279 (multiplicity 4)
Al  0.185  0.500  0.540 (multiplicity 4)
Ga  0.000  0.500  0.000 (multiplicity 2)
Ga  0.148  0.000  0.930 (multiplicity 4)
Ga  0.216  0.500  0.210 (multiplicity 4)
Ag  0.064  0.000  0.626 (multiplicity 4)

Results
For the formation enthalpy at 0 K, the calculation gives 50 meV/atom. Its total DFT energy (no corrections) is -3.21 eV per atom. Its offset from the most stable computed form is 0.000 eV per atom.

Record 8
Computed, not measured: a relaxed AlGa5Ag6 crystal at the GGA-PBE level of DFT.

Cell lengths 9.215, 8.671, 5.461 Å; angles 90.00, 103.48, 90.00 degrees
Space group C2/m (No. 12)
One atom of each set of equivalent atoms:
Al  0.000  0.000  0.000 (multiplicity 2)
Ga  0.000  0.169  0.500 (multiplicity 4)
Ga  0.000  0.336  0.000 (multiplicity 4)
Ga  0.000  0.500  0.500 (multiplicity 2)
Ag  0.244  0.000  0.763 (multiplicity 4)
Ag  0.245  0.165  0.254 (multiplicity 8)

Results
For the formation enthalpy at 0 K, the calculation gives 6 meV/atom. Its total DFT energy (no corrections) is -2.99 eV per atom.

Record 9
Computed, not measured: a relaxed Al8Ga2Ag3 crystal at the GGA-PBE level of DFT.

Cell lengths 13.197, 7.458, 5.177 Å; angles 90.00, 99.30, 90.00 degrees
Space group C2/m (No. 12)
One atom of each set of equivalent atoms:
Al  0.106  0.000  0.096 (multiplicity 4)
Al  0.160  0.309  0.376 (multiplicity 8)
Al  0.178  0.500  0.881 (multiplicity 4)
Ga  0.167  0.000  0.649 (multiplicity 4)
Ag  0.000  0.305  0.000 (multiplicity 4)
Ag  0.000  0.500  0.500 (multiplicity 2)

Results
For the formation enthalpy at 0 K, the calculation gives 88 meV/atom. Its total DFT energy (no corrections) is -3.34 eV per atom.

Record 10
Computed, not measured: a relaxed AlGa3Ag crystal at the GGA-PBE level of DFT.

Cell lengths 2.9528, 2.9528, 23.5655 Å; angles 90.00, 90.00, 120.00 degrees
Space group P6_3mc (No. 186)
One atom of each set of equivalent atoms:
Al  0.0000  0.0000  0.0000 (multiplicity 2)
Ga  0.0000  0.0000  0.2942 (multiplicity 2)
Ga  0.3333  0.6667  0.0984 (multiplicity 2)
Ga  0.3333  0.6667  0.3969 (multiplicity 2)
Ag  0.3333  0.6667  0.6959 (multiplicity 2)

Results
For the formation enthalpy at 0 K, the calculation gives 13 meV/atom. Its total DFT energy (no corrections) is -3.12 eV per atom. Its offset from the most stable computed form is 0.000 eV per atom.

Record 11
Computed, not measured: a relaxed AlGa2Ag2 crystal at the GGA-PBE level of DFT.

Cell lengths 8.139, 8.139, 2.819 Å; angles 90.00, 90.00, 90.00 degrees
Space group P4/mbm (No. 127)
One atom of each set of equivalent atoms:
Al  0.000  0.000  0.000 (multiplicity 2)
Ga  0.122  0.378  0.000 (multiplicity 4)
Ag  0.177  0.677  0.500 (multiplicity 4)

Results
For the formation enthalpy at 0 K, the calculation gives 113 meV/atom. Its total DFT energy (no corrections) is -2.99 eV per atom. Its offset from the most stable computed form is 0.000 eV per atom.

Record 12
Computed, not measured: a relaxed Al2Ga7Ag crystal at the GGA-PBE level of DFT.

Cell lengths 8.278, 16.804, 2.841 Å; angles 90.00, 90.00, 90.00 degrees
Space group Cmmm (No. 65)
One atom of each set of equivalent atoms:
Al  0.000  0.169  0.000 (multiplicity 4)
Ga  0.000  0.000  0.000 (multiplicity 2)
Ga  0.000  0.307  0.500 (multiplicity 4)
Ga  0.218  0.401  0.000 (multiplicity 8)
Ag  0.000  0.500  0.500 (multiplicity 2)

Results
For the formation enthalpy at 0 K, the calculation gives 83 meV/atom. Its total DFT energy (no corrections) is -3.07 eV per atom.